1.
VZnPdS2 | PBE | relaxed

uncorrected formation energy = 0.76 eV per atom
crystal system = tetragonal
electronic total energy = -4.004 eV/atom

Cell and atoms, written as POSCAR:
```
VZnPdS2
1.0
4.7292 0.0000 0.0000
0.0000 4.7292 0.0000
0.0000 0.0000 4.5966
V Zn Pd S
1 1 1 2
direct
0.0000 0.0000 0.0000
0.5000 0.5000 0.0000
0.5000 0.5000 0.5000
0.0000 0.5000 0.5000
0.5000 0.0000 0.5000
```

2.
PdWS3 | PBE | relaxed

uncorrected formation energy = -0.35 eV per atom
ΔE to the lowest computed polymorph = 0 meV/atom
crystal system = triclinic
electronic total energy = -6.452 eV/atom

Cell and atoms, written as POSCAR:
```
PdWS3
1.0
6.1602 0.0000 0.0000
-2.3687 6.1881 0.0000
-0.4124 -3.1988 6.4677
Pd W S
2 2 6
direct
0.0000 0.0000 0.0000
0.4095 0.0354 0.8850
0.0830 0.4460 0.9967
0.6857 0.5150 0.8700
0.1321 0.3775 0.2714
0.2757 0.2356 0.7419
0.4473 0.7554 0.0061
0.7374 0.1461 0.7338
0.8420 0.6580 0.6582
0.9587 0.7577 0.1883
```

3.
PdWS3 | PBE | relaxed

uncorrected formation energy = 1.17 eV per atom
ΔE to the lowest computed polymorph = 1516 meV/atom
crystal system = cubic
electronic total energy = -4.935 eV/atom

Cell and atoms, written as POSCAR:
```
PdWS3
1.0
4.6074 0.0000 0.0000
0.0000 4.6074 0.0000
0.0000 0.0000 4.6074
Pd W S
1 1 3
direct
0.0000 0.0000 0.0000
0.5000 0.5000 0.5000
0.0000 0.0000 0.5000
0.0000 0.5000 0.0000
0.5000 0.0000 0.0000
```

4.
PdWS3 | PBE | relaxed

uncorrected formation energy = 0.34 eV per atom
ΔE to the lowest computed polymorph = 686 meV/atom
crystal system = cubic
electronic total energy = -5.766 eV/atom

Cell and atoms, written as POSCAR:
```
PdWS3
1.0
4.6668 0.0000 0.0000
0.0000 4.6668 0.0000
0.0000 0.0000 4.6668
Pd W S
1 1 3
direct
0.0000 0.0000 0.0000
0.5000 0.5000 0.5000
0.0000 0.5000 0.5000
0.5000 0.0000 0.5000
0.5000 0.5000 0.0000
```

5.
Pd2WS2 | PBE | relaxed

uncorrected formation energy = 0.52 eV per atom
ΔE to the lowest computed polymorph = 0 meV/atom
crystal system = tetragonal
electronic total energy = -5.796 eV/atom

Cell and atoms, written as POSCAR:
```
Pd2WS2
1.0
7.0437 0.0000 0.0000
0.0000 7.0437 0.0000
0.0000 0.0000 3.1259
Pd W S
4 2 4
direct
0.1333 0.3667 0.0000
0.3667 0.8667 0.0000
0.6333 0.1333 0.0000
0.8667 0.6333 0.0000
0.0000 0.0000 0.0000
0.5000 0.5000 0.0000
0.1813 0.6813 0.5000
0.3187 0.1813 0.5000
0.6813 0.8187 0.5000
0.8187 0.3187 0.5000
```

6.
PdW3S | PBE | relaxed

uncorrected formation energy = 0.90 eV per atom
ΔE to the lowest computed polymorph = 0 meV/atom
crystal system = cubic
electronic total energy = -8.739 eV/atom

Cell and atoms, written as POSCAR:
```
PdW3S
1.0
4.3990 0.0000 0.0000
0.0000 4.3990 0.0000
0.0000 0.0000 4.3990
Pd W S
1 3 1
direct
0.0000 0.0000 0.0000
0.0000 0.5000 0.5000
0.5000 0.0000 0.5000
0.5000 0.5000 0.0000
0.5000 0.5000 0.5000
```

7.
Pd2WS2 | PBE | relaxed

uncorrected formation energy = 0.63 eV per atom
ΔE to the lowest computed polymorph = 108 meV/atom
crystal system = tetragonal
electronic total energy = -5.689 eV/atom

Cell and atoms, written as POSCAR:
```
Pd2WS2
1.0
3.1239 0.0000 0.0000
0.0000 3.1239 0.0000
0.0000 0.0000 17.4518
Pd W S
4 2 4
direct
0.0000 0.0000 0.0964
0.0000 0.0000 0.9036
0.5000 0.5000 0.4036
0.5000 0.5000 0.5964
0.0000 0.0000 0.5000
0.5000 0.5000 0.0000
0.0000 0.5000 0.2500
0.0000 0.5000 0.7500
0.5000 0.0000 0.2500
0.5000 0.0000 0.7500
```

8.
Pd2WS | PBE | relaxed

uncorrected formation energy = 0.77 eV per atom
crystal system = tetragonal
electronic total energy = -6.100 eV/atom

Cell and atoms, written as POSCAR:
```
Pd2WS
1.0
6.1854 0.0000 0.0000
0.0000 6.1854 0.0000
0.0000 0.0000 8.4320
Pd W S
8 4 4
direct
0.2411 0.2500 0.1250
0.2500 0.7411 0.3750
0.2500 0.7589 0.8750
0.2589 0.2500 0.6250
0.7411 0.7500 0.6250
0.7500 0.2411 0.8750
0.7500 0.2589 0.3750
0.7589 0.7500 0.1250
0.0000 0.0000 0.5000
0.0000 0.5000 0.7500
0.5000 0.0000 0.2500
0.5000 0.5000 0.0000
0.0000 0.0000 0.0000
0.0000 0.5000 0.2500
0.5000 0.0000 0.7500
0.5000 0.5000 0.5000
```

9.
PdWS | PBE | relaxed

uncorrected formation energy = -0.17 eV per atom
crystal system = triclinic
electronic total energy = -7.598 eV/atom

Cell and atoms, written as POSCAR:
```
PdWS
1.0
2.9549 0.0000 0.0000
-0.0121 6.3120 0.0000
-1.4766 -3.1372 5.4443
Pd W S
2 2 2
direct
0.0738 0.2494 0.1473
0.9262 0.7506 0.8527
0.3581 0.0379 0.7154
0.6419 0.9621 0.2846
0.1621 0.6871 0.3267
0.8379 0.3129 0.6733
```

10.
PdW2S | PBE | relaxed

uncorrected formation energy = 1.05 eV per atom
crystal system = tetragonal
electronic total energy = -7.756 eV/atom

Cell and atoms, written as POSCAR:
```
PdW2S
1.0
5.4595 0.0000 0.0000
0.0000 5.4595 0.0000
0.0000 0.0000 11.0963
Pd W S
4 8 4
direct
0.0000 0.0000 0.0000
0.0000 0.5000 0.2500
0.5000 0.0000 0.7500
0.5000 0.5000 0.5000
0.2213 0.2500 0.6250
0.2500 0.7213 0.8750
0.2500 0.7787 0.3750
0.2787 0.2500 0.1250
0.7213 0.7500 0.1250
0.7500 0.2213 0.3750
0.7500 0.2787 0.8750
0.7787 0.7500 0.6250
0.0000 0.0000 0.5000
0.0000 0.5000 0.7500
0.5000 0.0000 0.2500
0.5000 0.5000 0.0000
```

11.
PdW3S | PBE | relaxed

uncorrected formation energy = 2.57 eV per atom
ΔE to the lowest computed polymorph = 1672 meV/atom
crystal system = cubic
electronic total energy = -7.067 eV/atom

Cell and atoms, written as POSCAR:
```
PdW3S
1.0
4.7528 0.0000 0.0000
0.0000 4.7528 0.0000
0.0000 0.0000 4.7528
Pd W S
1 3 1
direct
0.0000 0.0000 0.0000
0.0000 0.0000 0.5000
0.0000 0.5000 0.0000
0.5000 0.0000 0.0000
0.5000 0.5000 0.5000
```

12.
Y5PdS4 | PBE | relaxed

uncorrected formation energy = -1.75 eV per atom
crystal system = monoclinic
electronic total energy = -7.151 eV/atom

Cell and atoms, written as POSCAR:
```
Y5PdS4
1.0
6.6553 -1.9476 0.0000
6.6553 1.9476 0.0000
-4.9037 0.0000 8.4832
Y Pd S
5 1 4
direct
0.0000 0.0000 0.0000
0.2020 0.2020 0.8051
0.3990 0.3990 0.6028
0.6010 0.6010 0.3972
0.7980 0.7980 0.1949
0.0000 0.0000 0.5000
0.2003 0.2003 0.2971
0.3997 0.3997 0.0964
0.6003 0.6003 0.9036
0.7997 0.7997 0.7029
```

13.
Y3PdS | PBE | relaxed

uncorrected formation energy = -0.67 eV per atom
ΔE to the lowest computed polymorph = 0 meV/atom
crystal system = cubic
electronic total energy = -6.414 eV/atom

Cell and atoms, written as POSCAR:
```
Y3PdS
1.0
5.1178 0.0000 0.0000
0.0000 5.1178 0.0000
0.0000 0.0000 5.1178
Y Pd S
3 1 1
direct
0.0000 0.0000 0.5000
0.0000 0.5000 0.0000
0.5000 0.0000 0.0000
0.5000 0.5000 0.5000
0.0000 0.0000 0.0000
```

14.
YPd3S | PBE | relaxed

uncorrected formation energy = 0.81 eV per atom
ΔE to the lowest computed polymorph = 1354 meV/atom
crystal system = cubic
electronic total energy = -4.425 eV/atom

Cell and atoms, written as POSCAR:
```
YPd3S
1.0
5.0257 0.0000 0.0000
0.0000 5.0257 0.0000
0.0000 0.0000 5.0257
Y Pd S
1 3 1
direct
0.0000 0.0000 0.0000
0.0000 0.0000 0.5000
0.0000 0.5000 0.0000
0.5000 0.0000 0.0000
0.5000 0.5000 0.5000
```

15.
Y2PdS2 | PBE | relaxed

uncorrected formation energy = -1.45 eV per atom
crystal system = tetragonal
electronic total energy = -6.730 eV/atom

Cell and atoms, written as POSCAR:
```
Y2PdS2
1.0
7.4435 0.0000 0.0000
0.0000 7.4435 0.0000
0.0000 0.0000 3.5518
Y Pd S
4 2 4
direct
0.1652 0.3348 0.0000
0.3348 0.8348 0.0000
0.6652 0.1652 0.0000
0.8348 0.6652 0.0000
0.0000 0.0000 0.5000
0.5000 0.5000 0.5000
0.1426 0.6426 0.5000
0.3574 0.1426 0.5000
0.6426 0.8574 0.5000
0.8574 0.3574 0.5000
```

16.
Y6PdS5 | PBE | relaxed

uncorrected formation energy = -1.80 eV per atom
crystal system = monoclinic
electronic total energy = -7.189 eV/atom

Cell and atoms, written as POSCAR:
```
Y6PdS5
1.0
3.4250 -5.9298 0.0000
3.4250 5.9298 0.0000
-2.2932 0.0000 6.4406
Y Pd S
6 1 5
direct
0.0779 0.4179 0.7494
0.2458 0.2458 0.2542
0.4179 0.0779 0.7494
0.5821 0.9221 0.2506
0.7542 0.7542 0.7458
0.9221 0.5821 0.2506
0.5000 0.5000 0.0000
0.0000 0.0000 0.5000
0.1656 0.8344 0.0000
0.3321 0.6679 0.5000
0.6679 0.3321 0.5000
0.8344 0.1656 0.0000
```

17.
YPd3S4 | PBE | relaxed

uncorrected formation energy = -0.88 eV per atom
crystal system = cubic
electronic total energy = -5.699 eV/atom

Cell and atoms, written as POSCAR:
```
YPd3S4
1.0
6.7042 0.0000 0.0000
0.0000 6.7042 0.0000
0.0000 0.0000 6.7042
Y Pd S
2 6 8
direct
0.0000 0.0000 0.0000
0.5000 0.5000 0.5000
0.0000 0.2500 0.5000
0.0000 0.7500 0.5000
0.2500 0.5000 0.0000
0.5000 0.0000 0.2500
0.5000 0.0000 0.7500
0.7500 0.5000 0.0000
0.2500 0.2500 0.2500
0.2500 0.2500 0.7500
0.2500 0.7500 0.2500
0.2500 0.7500 0.7500
0.7500 0.2500 0.2500
0.7500 0.2500 0.7500
0.7500 0.7500 0.2500
0.7500 0.7500 0.7500
```

18.
YPdS3 | PBE | relaxed

uncorrected formation energy = 0.04 eV per atom
ΔE to the lowest computed polymorph = 649 meV/atom
crystal system = cubic
electronic total energy = -4.770 eV/atom

Cell and atoms, written as POSCAR:
```
YPdS3
1.0
5.2272 0.0000 0.0000
0.0000 5.2272 0.0000
0.0000 0.0000 5.2272
Y Pd S
1 1 3
direct
0.0000 0.0000 0.0000
0.5000 0.5000 0.5000
0.0000 0.0000 0.5000
0.0000 0.5000 0.0000
0.5000 0.0000 0.0000
```

19.
Y7PdS5 | PBE | relaxed

uncorrected formation energy = -1.69 eV per atom
crystal system = monoclinic
electronic total energy = -7.160 eV/atom

Cell and atoms, written as POSCAR:
```
Y7PdS5
1.0
3.8860 0.0000 0.0000
0.0000 23.6026 0.0000
-1.9347 0.0000 6.4493
Y Pd S
14 2 10
direct
0.0358 0.2500 0.0709
0.1375 0.5366 0.2756
0.1375 0.9634 0.2756
0.3097 0.1765 0.6197
0.3097 0.3235 0.6197
0.4106 0.6088 0.8216
0.4106 0.8912 0.8216
0.5894 0.1088 0.1784
0.5894 0.3912 0.1784
0.6903 0.6765 0.3803
0.6903 0.8235 0.3803
0.8625 0.0366 0.7244
0.8625 0.4634 0.7244
0.9642 0.7500 0.9291
0.3006 0.7500 0.6009
0.6994 0.2500 0.3991
0.0490 0.6415 0.0984
0.0490 0.8585 0.0984
0.2252 0.0704 0.4500
0.2252 0.4296 0.4500
0.5000 0.0000 0.0000
0.5000 0.5000 0.0000
0.7748 0.5704 0.5500
0.7748 0.9296 0.5500
0.9510 0.1415 0.9016
0.9510 0.3585 0.9016
```

20.
YPd3S | PBE | relaxed

uncorrected formation energy = -0.55 eV per atom
ΔE to the lowest computed polymorph = 0 meV/atom
crystal system = cubic
electronic total energy = -5.779 eV/atom

Cell and atoms, written as POSCAR:
```
YPd3S
1.0
4.5802 0.0000 0.0000
0.0000 4.5802 0.0000
0.0000 0.0000 4.5802
Y Pd S
1 3 1
direct
0.0000 0.0000 0.0000
0.0000 0.5000 0.5000
0.5000 0.0000 0.5000
0.5000 0.5000 0.0000
0.5000 0.5000 0.5000
```

21.
YPdS3 | PBE | relaxed

uncorrected formation energy = -0.61 eV per atom
ΔE to the lowest computed polymorph = 0 meV/atom
crystal system = cubic
electronic total energy = -5.419 eV/atom

Cell and atoms, written as POSCAR:
```
YPdS3
1.0
4.6808 0.0000 0.0000
0.0000 4.6808 0.0000
0.0000 0.0000 4.6808
Y Pd S
1 1 3
direct
0.0000 0.0000 0.0000
0.5000 0.5000 0.5000
0.0000 0.5000 0.5000
0.5000 0.0000 0.5000
0.5000 0.5000 0.0000
```

22.
YZr2PdS | PBE | relaxed

uncorrected formation energy = 1.07 eV per atom
crystal system = tetragonal
electronic total energy = -5.509 eV/atom

Cell and atoms, written as POSCAR:
```
YZr2PdS
1.0
5.2571 0.0000 0.0000
0.0000 5.2571 0.0000
0.0000 0.0000 4.8701
Y Zr Pd S
1 2 1 1
direct
0.0000 0.0000 0.0000
0.0000 0.5000 0.0000
0.5000 0.0000 0.0000
0.5000 0.5000 0.5000
0.0000 0.0000 0.5000
```

23.
ZnPd4S | PBE | relaxed

uncorrected formation energy = 0.02 eV per atom
crystal system = tetragonal
electronic total energy = -4.340 eV/atom

Cell and atoms, written as POSCAR:
```
ZnPd4S
1.0
-3.8150 3.8150 3.8084
3.8150 -3.8150 3.8084
3.8150 3.8150 -3.8084
Zn Pd S
2 8 2
direct
0.0000 0.0000 0.0000
0.7500 0.2500 0.5000
0.0257 0.3413 0.3156
0.0257 0.7101 0.6844
0.0913 0.2757 0.8156
0.4601 0.2757 0.1844
0.4851 0.1821 0.6970
0.4851 0.7881 0.3030
0.5381 0.7351 0.8030
0.9321 0.7351 0.1970
0.2625 0.7625 0.5000
0.5125 0.5125 0.0000
```

24.
Zn3PdS | PBE | relaxed

uncorrected formation energy = 0.27 eV per atom
ΔE to the lowest computed polymorph = 0 meV/atom
crystal system = cubic
electronic total energy = -2.361 eV/atom

Cell and atoms, written as POSCAR:
```
Zn3PdS
1.0
4.7755 0.0000 0.0000
0.0000 4.7755 0.0000
0.0000 0.0000 4.7755
Zn Pd S
3 1 1
direct
0.0000 0.0000 0.5000
0.0000 0.5000 0.0000
0.5000 0.0000 0.0000
0.0000 0.0000 0.0000
0.5000 0.5000 0.5000
```